## NdCdMo (GGA-PBE)

Data for crystalline NdCdMo at its relaxed geometry.

Results
* formation energy: 0.82 eV per atom
* symmetry: No. 216
* size of the total moment: 2.97 μB/cell

Lattice parameters (Å, degrees): 4.8768 4.8768 4.8768 60.00 60.00 60.00
Fractional coordinates of all 3 atoms:
Cd 0.2500 0.2500 0.2500
Mo 0.0000 0.0000 0.0000
Nd 0.7500 0.7500 0.7500

## BaHgNO (GGA-PBE)

Data for crystalline BaHgNO at its relaxed geometry.

Results
* DFT total energy: -4.151 eV per atom
* symmetry: No. 29

Lattice parameters (Å, degrees): 6.1226 7.0240 7.5662 90.00 90.00 90.00
Fractional coordinates of all 16 atoms:
Ba 0.4736 0.2428 0.1015
Ba 0.9736 0.7572 0.8985
Hg 0.9534 0.7192 0.3597
N 0.5347 0.1002 0.4424
Hg 0.4534 0.7192 0.1403
Hg 0.4534 0.2808 0.6403
N 0.0347 0.8998 0.5576
Ba 0.4736 0.7572 0.6015
N 0.5347 0.8998 0.9424
Ba 0.9736 0.2428 0.3985
O 0.3359 0.4692 0.8291
N 0.0347 0.1002 0.0576
Hg 0.9534 0.2808 0.8597
O 0.3359 0.5308 0.3291
O 0.8360 0.4692 0.6709
O 0.8360 0.5308 0.1709

## YFeAgAs (GGA-PBE)

Data for crystalline YFeAgAs at its relaxed geometry.

Results
* DFT total energy: -5.506 eV per atom
* symmetry: No. 216
* size of the total moment: 1.89 μB/cell

Lattice parameters (Å, degrees): 4.7146 4.7146 4.7146 60.00 60.00 60.00
Fractional coordinates of all 4 atoms:
As 0.0000 0.0000 0.0000
Y 0.5000 0.5000 0.5000
Fe 0.7500 0.7500 0.7500
Ag 0.2500 0.2500 0.2500

## CuAgPtW (GGA-PBE)

Data for crystalline CuAgPtW at its relaxed geometry.

Results
* formation energy: 0.27 eV per atom
* symmetry: No. 216
* size of the total moment: 0.01 μB/cell

Lattice parameters (Å, degrees): 4.4216 4.4216 4.4216 60.00 60.00 60.00
Fractional coordinates of all 4 atoms:
Ag 0.5000 0.5000 0.5000
W 0.0000 0.0000 0.0000
Cu 0.7500 0.7500 0.7500
Pt 0.2500 0.2500 0.2500

## SrOs (GGA-PBE)

Data for crystalline SrOs at its relaxed geometry.

Results
* DFT total energy: -4.603 eV per atom
* symmetry: No. 225
* size of the total moment: 2.01 μB/cell

Lattice parameters (Å, degrees): 4.3776 4.3776 4.3776 60.00 60.00 60.00
Last column: magnetic moment on the atom in μB.
Fractional coordinates of all 2 atoms:
Os 0.0000 0.0000 0.0000  1.91
Sr 0.5000 0.5000 0.5000  -0.04

## GdTmP2C4 (GGA-PBE)

Data for crystalline GdTmP2C4 at its relaxed geometry.

Results
* DFT total energy: -6.458 eV per atom
* symmetry: No. 164
* size of the total moment: 0.03 μB/cell

Lattice parameters (Å, degrees): 3.7645 3.7645 8.5023 90.00 90.00 120.00
Fractional coordinates of all 8 atoms:
C 0.3333 0.6667 0.3416
P 0.3333 0.6667 0.7486
Gd 0.0000 0.0000 0.0000
C 0.3333 0.6667 0.1695
P 0.6667 0.3333 0.2514
C 0.6667 0.3333 0.8305
C 0.6667 0.3333 0.6584
Tm 0.0000 0.0000 0.5000